AcGaAgGe2 | PBE | optimized geometry

a = 4.373 Å, b = 4.373 Å, c = 11.843 Å
α = 90.00°, β = 90.00°, γ = 90.00°
Space group I-4m2 (No. 119)
Unique sites:
Ac 0.000 0.000 0.000
Ga 0.000 0.500 0.250
Ag 0.000 0.500 0.750
Ge 0.000 0.000 0.387

## Properties
Total magnetic moment in μB per formula unit: 0.00
Total DFT energy (no corrections) in eV/atom: -4.2391
DOS at the Fermi energy in states/eV/f.u.: 1.83